(1)
{"formula": "ZnHgPH2", "functional": "GGA-PBE", "state": "relaxed", "lattice": [[-0.334, 3.330, 1.198], [-4.439, 1.190, -4.544], [-2.562, -1.058, 2.226]], "species": ["P", "H", "H", "Zn", "Hg"], "fractional_positions": [[0.500, 0.500, 0.500], [0.500, 0.000, 0.000], [0.000, 0.000, 0.500], [0.000, 0.500, 0.000], [0.000, 0.000, 0.000]], "magnetic_moment_mub_per_cell": 0.0, "dft_energy_ev_per_atom": -2.262}

(2)
{"formula": "Dy4AgIr2Rh", "functional": "GGA-PBE", "state": "relaxed", "lattice": [[-0.120, -4.883, 0.418], [0.643, -2.101, 4.382], [-7.734, -2.021, 2.908]], "species": ["Ag", "Dy", "Dy", "Dy", "Dy", "Ir", "Ir", "Rh"], "fractional_positions": [[0.000, 0.000, 0.000], [0.378, 0.378, 0.865], [0.872, 0.872, 0.383], [0.128, 0.128, 0.617], [0.622, 0.622, 0.135], [0.749, 0.749, 0.752], [0.251, 0.251, 0.248], [0.500, 0.500, 0.500]], "magnetic_moment_mub_per_cell": 0.0, "formation_energy_mev_per_atom": -753}

(3)
{"formula": "Ba5Sn2S8", "functional": "GGA-PBE", "state": "relaxed", "lattice": [[-6.760, 7.448, -6.746], [3.817, -11.565, -5.722], [-10.124, -5.407, 4.174]], "species": ["Ba", "Ba", "Ba", "Ba", "Ba", "Ba", "Ba", "Ba", "Ba", "Ba", "Ba", "Ba", "Ba", "Ba", "Ba", "Ba", "Ba", "Ba", "Ba", "Ba", "Sn", "Sn", "Sn", "Sn", "Sn", "Sn", "Sn", "Sn", "S", "S", "S", "S", "S", "S", "S", "S", "S", "S", "S", "S", "S", "S", "S", "S", "S", "S", "S", "S", "S", "S", "S", "S", "S", "S", "S", "S", "S", "S", "S", "S"], "fractional_positions": [[0.003, 0.500, 0.250], [0.569, 0.805, 0.003], [0.905, 0.808, 0.831], [0.931, 0.195, 0.503], [0.403, 0.808, 0.331], [0.595, 0.192, 0.331], [0.903, 0.808, 0.169], [0.405, 0.808, 0.669], [0.503, 0.500, 0.250], [0.097, 0.192, 0.831], [0.264, 0.195, 0.497], [0.497, 0.500, 0.750], [0.597, 0.192, 0.669], [0.764, 0.195, 0.003], [0.997, 0.500, 0.750], [0.069, 0.805, 0.497], [0.236, 0.805, 0.997], [0.095, 0.192, 0.169], [0.736, 0.805, 0.503], [0.431, 0.195, 0.997], [0.250, 0.500, 0.500], [0.244, 0.000, 0.745], [0.750, 0.500, 0.000], [0.744, 0.000, 0.755], [0.756, 0.000, 0.255], [0.250, 0.500, 0.000], [0.750, 0.500, 0.500], [0.256, 0.000, 0.245], [0.633, 0.770, 0.755], [0.337, 0.372, 0.991], [0.655, 0.000, 0.552], [0.155, 0.000, 0.948], [0.806, 0.627, 0.650], [0.837, 0.372, 0.509], [0.680, 0.373, 0.850], [0.163, 0.628, 0.491], [0.536, 0.372, 0.491], [0.306, 0.627, 0.850], [0.867, 0.230, 0.255], [0.345, 0.000, 0.448], [0.464, 0.628, 0.509], [0.320, 0.627, 0.150], [0.036, 0.372, 0.009], [0.953, 0.000, 0.354], [0.547, 0.000, 0.854], [0.194, 0.373, 0.350], [0.820, 0.627, 0.350], [0.863, 0.230, 0.755], [0.180, 0.373, 0.650], [0.133, 0.770, 0.745], [0.137, 0.770, 0.245], [0.637, 0.770, 0.255], [0.453, 0.000, 0.146], [0.694, 0.373, 0.150], [0.663, 0.628, 0.009], [0.047, 0.000, 0.646], [0.363, 0.230, 0.745], [0.367, 0.230, 0.245], [0.845, 0.000, 0.052], [0.964, 0.628, 0.991]], "magnetic_moment_mub_per_cell": 0.0, "formation_energy_uncorrected_kj_per_mol_atoms": -145.1}